(1)
InTePb4: optimized geometry, PBE-GGA.

abc: 6.534 6.534 6.534
angles: 60.00 60.00 60.00
Fractional positions:
In 0.000 0.000 0.000
Te 0.250 0.250 0.250
Pb 0.123 0.626 0.626
Pb 0.626 0.123 0.626
Pb 0.626 0.626 0.123
Pb 0.626 0.626 0.626

Output
Crystal system ... cubic
Formation energy from raw total energies ... 144 meV per atom
V ... 197 Å³ per cell
Theoretical density ... 9.017 g/cm³
Density of states at the Fermi level ... 0.73 states/eV/atom
SG ... F-43m, No. 216



(2)
InTe2Pb: optimized geometry, PBE-GGA.

abc: 4.547 4.547 6.460
angles: 90.00 90.00 90.00
Fractional positions:
In 0.000 0.000 0.000
Te 0.000 0.000 0.499
Te 0.500 0.500 0.998
Pb 0.500 0.500 0.498

Output
Crystal system ... tetragonal
Formation energy from raw total energies ... -318 meV per atom
V ... 134 Å³ per cell
Theoretical density ... 7.175 g/cm³
Density of states at the Fermi level ... 0.58 states/eV/atom
SG ... P4mm, No. 99



(3)
In2Te3Pb: optimized geometry, PBE-GGA.

abc: 11.717 11.717 10.400
angles: 108.33 108.33 22.53
Fractional positions:
In 0.062 0.062 0.161
In 0.225 0.225 0.588
In 0.775 0.775 0.412
In 0.938 0.938 0.839
Te 0.068 0.068 0.890
Te 0.266 0.266 0.200
Te 0.378 0.378 0.686
Te 0.622 0.622 0.314
Te 0.734 0.734 0.800
Te 0.932 0.932 0.110
Pb 0.328 0.328 0.967
Pb 0.672 0.672 0.033

Output
Crystal system ... monoclinic
Formation energy from raw total energies ... -282 meV per atom
V ... 518 Å³ per cell
Theoretical density ... 5.254 g/cm³
SG ... C2/m, No. 12



(4)
InTe6Pb4: optimized geometry, PBE-GGA.

abc: 8.945 8.945 14.600
angles: 110.91 110.91 54.78
Fractional positions:
In 0.203 0.797 0.500
In 0.797 0.203 0.000
Te 0.010 0.617 0.476
Te 0.012 0.499 0.766
Te 0.057 0.138 0.453
Te 0.135 0.681 0.157
Te 0.138 0.057 0.953
Te 0.410 0.789 0.698
Te 0.497 0.537 0.388
Te 0.499 0.012 0.266
Te 0.537 0.497 0.888
Te 0.617 0.010 0.976
Te 0.681 0.135 0.657
Te 0.789 0.410 0.198
Pb 0.078 0.811 0.745
Pb 0.158 0.423 0.275
Pb 0.391 0.743 0.090
Pb 0.423 0.158 0.775
Pb 0.574 0.884 0.455
Pb 0.743 0.391 0.590
Pb 0.811 0.078 0.245
Pb 0.884 0.574 0.955

Output
Crystal system ... monoclinic
Formation energy from raw total energies ... -252 meV per atom
V ... 874 Å³ per cell
Theoretical density ... 6.497 g/cm³
Density of states at the Fermi level ... 0.49 states/eV/atom
SG ... Cc, No. 9



(5)
In2Te2Pb: optimized geometry, PBE-GGA.

abc: 9.089 9.089 9.089
angles: 152.42 152.42 39.39
Fractional positions:
In 0.250 0.750 0.500
In 0.750 0.250 0.500
Te 0.097 0.097 0.000
Te 0.903 0.903 0.000
Pb 0.500 0.500 0.000

Output
Crystal system ... tetragonal
Formation energy from raw total energies ... -88 meV per atom
V ... 161 Å³ per cell
Theoretical density ... 7.154 g/cm³
Density of states at the Fermi level ... 0.38 states/eV/atom
SG ... I4/mmm, No. 139



(6)
InTe2Pb: optimized geometry, PBE-GGA.

abc: 4.536 4.536 22.351
angles: 90.00 90.00 120.00
Fractional positions:
In 0.000 0.000 0.000
In 0.333 0.667 0.160
In 0.667 0.333 0.840
Te 0.000 0.000 0.239
Te 0.000 0.000 0.761
Te 0.333 0.667 0.413
Te 0.333 0.667 0.925
Te 0.667 0.333 0.075
Te 0.667 0.333 0.587
Pb 0.000 0.000 0.500
Pb 0.333 0.667 0.673
Pb 0.667 0.333 0.327

Output
Crystal system ... trigonal
Formation energy from raw total energies ... -328 meV per atom
V ... 398 Å³ per cell
Theoretical density ... 7.221 g/cm³
Density of states at the Fermi level ... 0.46 states/eV/atom
SG ... P-3m1, No. 164